1.
Density functional theory data (GGA-PBE) for a geometry-optimized PaCdTe structure.

a = 5.1030 Å, b = 5.1030 Å, c = 5.1030 Å
α = 60.00°, β = 60.00°, γ = 60.00°
Element x y z (fractional)
Cd 0.2500 0.2500 0.2500
Pa 0.0000 0.0000 0.0000
Te 0.7500 0.7500 0.7500

Output
- energy above the lowest structure with this stoichiometry (meV/atom) = 0

***

2.
Density functional theory data (GGA-PBE) for a geometry-optimized PaCdTe structure.

a = 5.0401 Å, b = 5.0401 Å, c = 5.0401 Å
α = 60.00°, β = 60.00°, γ = 60.00°
Element x y z (fractional)
Cd 0.0000 0.0000 0.0000
Pa 0.5000 0.5000 0.5000
Te 0.7500 0.7500 0.7500

Output
- energy above the lowest structure with this stoichiometry (meV/atom) = 112

***

3.
Density functional theory data (GGA-PBE) for a geometry-optimized TmPaCd structure.

a = 4.9650 Å, b = 4.9650 Å, c = 4.9650 Å
α = 60.00°, β = 60.00°, γ = 60.00°
Element x y z (fractional)
Cd 0.2500 0.2500 0.2500
Pa 0.7500 0.7500 0.7500
Tm 0.0000 0.0000 0.0000

Output
- energy above the lowest structure with this stoichiometry (meV/atom) = 0
- energy of formation from the pure elements (kJ/mol of atoms) = 87.5

***

4.
Density functional theory data (GGA-PBE) for a geometry-optimized UPaCd structure.

a = 4.8523 Å, b = 4.8523 Å, c = 4.8523 Å
α = 60.00°, β = 60.00°, γ = 60.00°
Element x y z (fractional)
Cd 0.2500 0.2500 0.2500
Pa 0.7500 0.7500 0.7500
U 0.0000 0.0000 0.0000

Output
- energy above the lowest structure with this stoichiometry (meV/atom) = 0
- energy of formation from the pure elements (kJ/mol of atoms) = 87.1

***

5.
Density functional theory data (GGA-PBE) for a geometry-optimized YPaCd structure.

a = 5.0006 Å, b = 5.0006 Å, c = 5.0006 Å
α = 60.00°, β = 60.00°, γ = 60.00°
Element x y z (fractional)
Cd 0.2500 0.2500 0.2500
Pa 0.7500 0.7500 0.7500
Y 0.0000 0.0000 0.0000

Output
- energy above the lowest structure with this stoichiometry (meV/atom) = 0
- energy of formation from the pure elements (kJ/mol of atoms) = 90.7

***

6.
Density functional theory data (GGA-PBE) for a geometry-optimized Cd2Pb structure.

a = 6.4771 Å, b = 4.8030 Å, c = 9.9827 Å
α = 90.00°, β = 90.00°, γ = 90.00°
Element x y z (fractional)
Cd 0.1176 0.2500 0.0715
Cd 0.8692 0.7500 0.2495
Cd 0.3692 0.7500 0.2505
Cd 0.6176 0.2500 0.4285
Cd 0.3824 0.7500 0.5715
Cd 0.6308 0.2500 0.7495
Cd 0.1308 0.2500 0.7505
Cd 0.8824 0.7500 0.9285
Pb 0.6199 0.2500 0.0977
Pb 0.1199 0.2500 0.4023
Pb 0.8801 0.7500 0.5977
Pb 0.3801 0.7500 0.9023

Output
- electronic total energy (eV/cell) = -21.50

***

7.
Density functional theory data (GGA-PBE) for a geometry-optimized CdPb structure.

a = 4.3642 Å, b = 4.3642 Å, c = 4.3642 Å
α = 60.00°, β = 60.00°, γ = 60.00°
Element x y z (fractional)
Cd 0.0000 0.0000 0.0000
Pb 0.5000 0.5000 0.5000

Output
- electronic total energy (eV/cell) = -4.29

***

8.
Density functional theory data (GGA-PBE) for a geometry-optimized Cd2Pb structure.

a = 5.9769 Å, b = 5.9769 Å, c = 5.9769 Å
α = 60.00°, β = 60.00°, γ = 60.00°
Element x y z (fractional)
Cd 0.6250 0.6250 0.1250
Cd 0.6250 0.1250 0.6250
Cd 0.1250 0.6250 0.6250
Cd 0.6250 0.6250 0.6250
Pb 0.0000 0.0000 0.0000
Pb 0.2500 0.2500 0.2500

Output
- electronic total energy (eV/cell) = -10.88

***

9.
Density functional theory data (GGA-PBE) for a geometry-optimized CdPb structure.

a = 4.7670 Å, b = 4.7670 Å, c = 4.7670 Å
α = 60.00°, β = 60.00°, γ = 60.00°
Element x y z (fractional)
Cd 0.0000 0.0000 0.0000
Pb 0.2500 0.2500 0.2500

Output
- electronic total energy (eV/cell) = -3.77

***

10.
Density functional theory data (GGA-PBE) for a geometry-optimized CdPb structure.

a = 3.3848 Å, b = 3.3848 Å, c = 5.4652 Å
α = 90.00°, β = 90.00°, γ = 120.00°
Element x y z (fractional)
Cd 0.6667 0.3333 0.7500
Pb 0.3333 0.6667 0.2500

Output
- electronic total energy (eV/cell) = -4.47

***

11.
Density functional theory data (GGA-PBE) for a geometry-optimized CdPdPb structure.

a = 4.7063 Å, b = 4.7063 Å, c = 4.7063 Å
α = 60.00°, β = 60.00°, γ = 60.00°
Element x y z (fractional)
Cd 0.0000 0.0000 0.0000
Pb 0.2500 0.2500 0.2500
Pd 0.7500 0.7500 0.7500

Output
- energy above the lowest structure with this stoichiometry (meV/atom) = 0

***

12.
Density functional theory data (GGA-PBE) for a geometry-optimized Cd2PdPb structure.

a = 4.9758 Å, b = 4.9758 Å, c = 4.9758 Å
α = 60.00°, β = 60.00°, γ = 60.00°
Element x y z (fractional)
Cd 0.0000 0.0000 0.0000
Cd 0.7500 0.7500 0.7500
Pb 0.5000 0.5000 0.5000
Pd 0.2500 0.2500 0.2500

Output
- electronic total energy (eV/cell) = -10.82

***

13.
Density functional theory data (GGA-PBE) for a geometry-optimized SrCdPdPb2 structure.

a = 4.7760 Å, b = 4.7760 Å, c = 12.2157 Å
α = 90.00°, β = 90.00°, γ = 90.00°
Element x y z (fractional)
Cd 0.0000 0.0000 0.0000
Cd 0.5000 0.5000 0.0000
Pb 0.5000 0.0000 0.1541
Pb 0.0000 0.0000 0.5000
Pb 0.5000 0.5000 0.5000
Pb 0.0000 0.5000 0.8459
Pd 0.5000 0.0000 0.3755
Pd 0.0000 0.5000 0.6245
Sr 0.0000 0.5000 0.2623
Sr 0.5000 0.0000 0.7377

Output
- electronic total energy (eV/cell) = -34.31

***

14.
Density functional theory data (GGA-PBE) for a geometry-optimized PmCd2Pb structure.

a = 4.5945 Å, b = 4.5945 Å, c = 4.9123 Å
α = 90.00°, β = 90.00°, γ = 90.00°
Element x y z (fractional)
Cd 0.5000 0.0000 0.0000
Cd 0.0000 0.5000 0.0000
Pb 0.0000 0.0000 0.5000
Pm 0.5000 0.5000 0.5000

Output
- electronic total energy (eV/cell) = -11.77

***

15.
Density functional theory data (GGA-PBE) for a geometry-optimized PmCdPb2 structure.

a = 4.9113 Å, b = 4.9113 Å, c = 4.6038 Å
α = 90.00°, β = 90.00°, γ = 90.00°
Element x y z (fractional)
Cd 0.0000 0.0000 0.5000
Pb 0.5000 0.0000 0.0000
Pb 0.0000 0.5000 0.0000
Pm 0.5000 0.5000 0.5000

Output
- electronic total energy (eV/cell) = -14.58

***

16.
Density functional theory data (GGA-PBE) for a geometry-optimized PmCdPb structure.

a = 5.1836 Å, b = 5.1836 Å, c = 5.1836 Å
α = 60.00°, β = 60.00°, γ = 60.00°
Element x y z (fractional)
Cd 0.2500 0.2500 0.2500
Pb 0.7500 0.7500 0.7500
Pm 0.0000 0.0000 0.0000

Output
- electronic total energy (eV/cell) = -9.61

***

17.
Density functional theory data (GGA-PBE) for a geometry-optimized Pr6Cd23Pb structure.

a = 10.0741 Å, b = 10.0741 Å, c = 10.0741 Å
α = 60.00°, β = 60.00°, γ = 60.00°
Element x y z (fractional)
Cd 0.0000 0.0000 0.0000
Cd 0.5000 0.0000 0.0000
Cd 0.0000 0.5000 0.0000
Cd 0.5000 0.5000 0.0000
Cd 0.6554 0.6554 0.0337
Cd 0.1271 0.1271 0.1271
Cd 0.6187 0.1271 0.1271
Cd 0.1271 0.6187 0.1271
Cd 0.3446 0.3446 0.3446
Cd 0.9663 0.3446 0.3446
Cd 0.3446 0.9663 0.3446
Cd 0.8729 0.8729 0.3813
Cd 0.0000 0.0000 0.5000
Cd 0.5000 0.0000 0.5000
Cd 0.0000 0.5000 0.5000
Cd 0.1271 0.1271 0.6187
Cd 0.6554 0.0337 0.6554
Cd 0.0337 0.6554 0.6554
Cd 0.6554 0.6554 0.6554
Cd 0.8729 0.3813 0.8729
Cd 0.3813 0.8729 0.8729
Cd 0.8729 0.8729 0.8729
Cd 0.3446 0.3446 0.9663
Pb 0.5000 0.5000 0.5000
Pr 0.2724 0.7276 0.2724
Pr 0.7276 0.7276 0.2724
Pr 0.7276 0.2724 0.2724
Pr 0.7276 0.2724 0.7276
Pr 0.2724 0.7276 0.7276
Pr 0.2724 0.2724 0.7276

Output
- electronic total energy (eV/cell) = -62.26

***

18.
Density functional theory data (GGA-PBE) for a geometry-optimized PrCdPb2 structure.

a = 4.9387 Å, b = 4.9387 Å, c = 4.6543 Å
α = 90.00°, β = 90.00°, γ = 90.00°
Element x y z (fractional)
Cd 0.0000 0.0000 0.5000
Pb 0.5000 0.0000 0.0000
Pb 0.0000 0.5000 0.0000
Pr 0.5000 0.5000 0.5000

Output
- electronic total energy (eV/cell) = -14.68

***

19.
Density functional theory data (GGA-PBE) for a geometry-optimized Pr2Cd3Pb3 structure.

a = 4.7744 Å, b = 4.9491 Å, c = 9.2910 Å
α = 90.00°, β = 90.00°, γ = 90.00°
Element x y z (fractional)
Cd 0.5000 0.5000 0.2625
Cd 0.0000 0.5000 0.5000
Cd 0.5000 0.5000 0.7375
Pb 0.5000 0.0000 0.0000
Pb 0.0000 0.5000 0.0000
Pb 0.5000 0.0000 0.5000
Pr 0.0000 0.0000 0.2483
Pr 0.0000 0.0000 0.7517

Output
- electronic total energy (eV/cell) = -26.50

***

20.
Density functional theory data (GGA-PBE) for a geometry-optimized PrCdPbSe3 structure.

a = 7.2905 Å, b = 7.2905 Å, c = 11.0456 Å
α = 90.00°, β = 90.00°, γ = 145.44°
Element x y z (fractional)
Cd 0.5248 0.4752 0.2500
Cd 0.4752 0.5248 0.7500
Pb 0.2210 0.7791 0.2500
Pb 0.7791 0.2210 0.7500
Pr 0.0000 0.0000 0.0000
Pr 0.0000 0.0000 0.5000
Se 0.6443 0.3557 0.0546
Se 0.9022 0.0978 0.2500
Se 0.6443 0.3557 0.4454
Se 0.3557 0.6443 0.5546
Se 0.0978 0.9022 0.7500
Se 0.3557 0.6443 0.9454

Output
- electronic total energy (eV/cell) = -50.51